1.
# Y2SiPt

Y2SiPt after structural relaxation (PBE, the Alexandria database).

Calculated values
The raw total energy comes out at -0.2625 hartree per atom. For the total moment, the calculation gives 0.0 μB/cell. Its space-group type is P2_1/m.

Lattice parameters (Å, degrees): 5.7778 4.2437 7.8742 90.00 110.44 90.00
With the nearest neighbours (Å) after each atom.
Positions (direct):
Y: 0.2159 0.2500 0.4387  4 Pt 2.94-3.12, 3 Si 3.03-3.06
Y: 0.2193 0.2500 0.9169  3 Pt 2.93-3.07, 4 Si 3.02-3.05
Y: 0.7807 0.7500 0.0831  3 Pt 2.93-3.07, 4 Si 3.02-3.05
Y: 0.7841 0.7500 0.5613  4 Pt 2.94-3.12, 3 Si 3.03-3.06
Si: 0.3380 0.7500 0.2090  2 Pt 2.68
Si: 0.6620 0.2500 0.7910  2 Pt 2.68
Pt: 0.3595 0.7500 0.7144  2 Si 2.68, 4 Y 2.93-2.94
Pt: 0.6405 0.2500 0.2856  2 Si 2.68, 4 Y 2.93-2.94

***

2.
# Ta2TcHg

Ta2TcHg after structural relaxation (PBE, the Alexandria database).

Calculated values
For the total moment, the calculation gives 0.0 μB/cell. The calculation puts the energy of formation at 66 meV/atom. Its space-group type is P4/mmm.

Lattice parameters (Å, degrees): 3.1349 3.1349 7.3269 90.00 90.00 90.00
With the nearest neighbours (Å) after each atom.
Positions (direct):
Ta: 0.0000 0.0000 0.2162  4 Tc 2.72, 4 Hg 3.04
Ta: 0.0000 0.0000 0.7838  4 Tc 2.72, 4 Hg 3.04
Tc: 0.5000 0.5000 0.0000  8 Ta 2.72
Hg: 0.5000 0.5000 0.5000  8 Ta 3.04, 4 Hg 3.13

***

3.
# Ni2HgSe

Ni2HgSe after structural relaxation (PBE, the Alexandria database).

Calculated values
The raw total energy comes out at -0.1293 hartree per atom. For the total moment, the calculation gives 0.0 μB/cell. Its space-group type is I-4m2.

Lattice parameters (Å, degrees): 5.2874 5.2874 5.2874 139.03 139.03 59.33
With the nearest neighbours (Å) after each atom.
Positions (direct):
Ni: 0.0000 0.0000 0.0000  4 Hg 2.62
Ni: 0.7500 0.2500 0.5000  4 Se 2.62
Hg: 0.5000 0.5000 0.0000  4 Ni 2.62
Se: 0.2500 0.7500 0.5000  4 Ni 2.62

***

4.
# Ti4Ag2O

Ti4Ag2O after structural relaxation (PBE, the Alexandria database).

Calculated values
The raw total energy comes out at -0.2415 hartree per atom. For the total moment, the calculation gives 0.0 μB/cell. Its space-group type is I4/mmm.

Lattice parameters (Å, degrees): 7.3098 7.3098 7.3098 147.36 147.36 46.83
With the nearest neighbours (Å) after each atom.
Positions (direct):
Ti: 0.0000 0.5000 0.5000  2 O 2.05
Ti: 0.1634 0.1634 0.0000  1 O 2.19
Ti: 0.5000 0.0000 0.5000  2 O 2.05
Ti: 0.8366 0.8366 0.0000  1 O 2.19
Ag: 0.3603 0.3603 0.0000  9 Ti 2.64-2.92
Ag: 0.6397 0.6397 0.0000  9 Ti 2.64-2.92
O: 0.0000 0.0000 0.0000  6 Ti 2.05-2.19

***

5.
# TiNbCrAu

TiNbCrAu after structural relaxation (PBE, the Alexandria database).

Calculated values
For the total moment, the calculation gives 1.9 μB/cell. The calculation puts the energy of formation at -53 meV/atom. Its space-group type is F-43m.

Lattice parameters (Å, degrees): 4.5114 4.5114 4.5114 60.00 60.00 60.00
With the nearest neighbours (Å) after each atom.
Positions (direct):
Ti: 0.0000 0.0000 0.0000  4 Au 2.76, 4 Nb 2.76
Nb: 0.2500 0.2500 0.2500  4 Cr 2.76, 4 Ti 2.76
Cr: 0.5000 0.5000 0.5000  4 Nb 2.76, 4 Au 2.76
Au: 0.7500 0.7500 0.7500  4 Cr 2.76, 4 Ti 2.76

***

6.
# Al2CuN

Al2CuN after structural relaxation (PBE, the Alexandria database).

Calculated values
The raw total energy comes out at -0.1964 hartree per atom. For the total moment, the calculation gives 0.0 μB/cell. Its space-group type is I-42d.

Lattice parameters (Å, degrees): 5.3498 5.3498 5.3498 118.83 118.83 92.03
With the nearest neighbours (Å) after each atom.
Positions (direct):
Al: 0.0443 0.6250 0.9193  2 N 1.89
Al: 0.3750 0.2943 0.4193  2 N 1.89
Al: 0.7057 0.1250 0.0807  2 N 1.89
Al: 0.8750 0.9557 0.5807  2 N 1.89
Cu: 0.2500 0.7500 0.5000  4 Al 2.44
Cu: 0.5000 0.5000 0.0000  4 Al 2.44
N: 0.0000 0.0000 0.0000  4 Al 1.89
N: 0.7500 0.2500 0.5000  4 Al 1.89